Entry 1:
VASP calculation (PBE-GGA) on crystalline La2In2Sn5 at its relaxed geometry.

Calculated values
* volume: 268 Å³/f.u.
* raw total energy: -4.26 eV/atom
* formation enthalpy at 0 K: -331 meV per atom

```
La2In2Sn5
1.0
-4.963 10.652 2.531
4.963 -10.652 2.531
4.963 10.652 -2.531
La In Sn
4 4 10
Direct
0.393 0.000 0.893
0.393 0.500 0.393
0.607 0.000 0.107
0.607 0.500 0.607
0.000 0.000 0.000
0.000 0.000 0.500
0.000 0.500 0.000
0.500 0.000 0.500
0.099 0.746 0.354
0.108 0.254 0.854
0.211 0.000 0.711
0.211 0.500 0.211
0.481 0.231 0.250
0.519 0.769 0.750
0.789 0.000 0.289
0.789 0.500 0.789
0.892 0.746 0.146
0.901 0.254 0.646
```

***

Entry 2:
VASP calculation (PBE-GGA) on crystalline HoAlIn2O6 at its relaxed geometry.

Calculated values
* volume: 124 Å³/f.u.
* raw total energy: -6.71 eV/atom
* uncorrected formation energy: -2.36 eV per atom

```
HoAlIn2O6
1.0
2.714 1.567 4.839
-2.714 1.567 4.839
0.000 -3.134 4.839
Ho Al In O
1 1 2 6
Direct
0.000 0.000 0.000
0.512 0.512 0.512
0.214 0.214 0.214
0.723 0.723 0.723
0.152 0.409 0.772
0.321 0.878 0.604
0.409 0.772 0.152
0.604 0.321 0.878
0.772 0.152 0.409
0.878 0.604 0.321
```

***

Entry 3:
VASP calculation (PBE-GGA) on crystalline Mg2GeP2Rh5 at its relaxed geometry.

Calculated values
* volume: 148 Å³/f.u.
* raw total energy: -6.20 eV/atom
* formation enthalpy at 0 K: -659 meV per atom

```
Mg2GeP2Rh5
1.0
9.322 0.000 0.000
0.000 9.322 0.000
0.000 0.000 3.395
Mg Ge P Rh
4 2 4 10
Direct
0.172 0.328 0.000
0.328 0.828 0.000
0.672 0.172 0.000
0.828 0.672 0.000
0.000 0.000 0.000
0.500 0.500 0.000
0.129 0.629 0.000
0.371 0.129 0.000
0.629 0.871 0.000
0.871 0.371 0.000
0.000 0.500 0.500
0.074 0.792 0.500
0.208 0.074 0.500
0.292 0.574 0.500
0.426 0.292 0.500
0.500 0.000 0.500
0.574 0.708 0.500
0.708 0.426 0.500
0.792 0.926 0.500
0.926 0.208 0.500
```

***

> What is the raw total energy in the second record?

-6.71 eV/atom

***

> raw total energy of number 2 (HoAlIn2O6)?

-6.71 eV/atom